The following is a DFT calculation (GGA-PBE) of an optimized crystal structure of HfCuHgSb.

Output
Spin magnetization ... 0.02 μB per formula unit
Symmetry ... No. 216
Calculated volume ... 20.47 Å³/atom
Distance to the lowest polymorph of the same formula ... 0 meV/atom

a = 4.874 Å, b = 4.874 Å, c = 4.874 Å
α = 60.00°, β = 60.00°, γ = 60.00°
Element x y z (fractional)
1 Sb 0.000 0.000 0.000
2 Hg 0.500 0.500 0.500
3 Hf 0.250 0.250 0.250
4 Cu 0.750 0.750 0.750

The following is a DFT calculation (GGA-PBE) of an optimized crystal structure of Nb4ZnSbN2.

Output
Spin magnetization ... 0.01 μB per formula unit
Symmetry ... No. 187
Calculated volume ... 15.11 Å³/atom
Total energy ... -8.298 eV/atom

a = 3.241 Å, b = 3.241 Å, c = 13.290 Å
α = 90.00°, β = 90.00°, γ = 120.00°
Element x y z (fractional)
1 N 0.667 0.333 0.255
2 N 0.667 0.333 0.745
3 Nb 0.000 0.000 0.339
4 Nb 0.000 0.000 0.661
5 Nb 0.333 0.667 0.831
6 Nb 0.333 0.667 0.169
7 Zn 0.333 0.667 0.500
8 Sb 0.000 0.000 0.000

The following is a DFT calculation (GGA-PBE) of an optimized crystal structure of BeAlFeIr.

Output
Spin magnetization ... 1.30 μB per formula unit
Symmetry ... No. 216
Calculated volume ... 11.65 Å³/atom
Distance to the lowest polymorph of the same formula ... 0 meV/atom

a = 4.039 Å, b = 4.039 Å, c = 4.039 Å
α = 60.00°, β = 60.00°, γ = 60.00°
Element x y z (fractional)
1 Al 0.000 0.000 0.000
2 Be 0.500 0.500 0.500
3 Fe 0.750 0.750 0.750
4 Ir 0.250 0.250 0.250